! Li2FeAs, relaxed, DFT PBE; values from VASP
&SYSTEM
  ibrav = 0, nat = 4, ntyp = 3
/
ATOMIC_SPECIES
Li 6.94 Li.upf
As 74.92 As.upf
Fe 55.84 Fe.upf
ATOMIC_POSITIONS crystal
Li 0.500 0.500 0.000
Li 0.000 0.000 0.000
As 0.500 0.000 0.500
Fe 0.000 0.500 0.500
CELL_PARAMETERS angstrom
3.652 0.000 0.000
0.000 3.649 0.000
0.000 0.000 4.066
! SG: P4/mmm (123)
! E_form: -191 meV per atom

! ScCoI, relaxed, DFT PBE; values from VASP
&SYSTEM
  ibrav = 0, nat = 6, ntyp = 3
/
ATOMIC_SPECIES
Co 58.93 Co.upf
I 126.90 I.upf
Sc 44.96 Sc.upf
ATOMIC_POSITIONS crystal
Co 0.834 0.834 0.497
Co 0.166 0.166 0.503
I 0.726 0.726 0.821
I 0.274 0.274 0.179
Sc 0.549 0.549 0.354
Sc 0.451 0.451 0.646
CELL_PARAMETERS angstrom
3.878 0.000 0.000
1.939 3.358 0.000
1.939 1.119 11.495
! Formation energy (no corrections): -0.70 eV per atom
! SG: R-3m (166)

! Mn5V6Ru, relaxed, DFT PBE; values from VASP
&SYSTEM
  ibrav = 0, nat = 12, ntyp = 3
/
ATOMIC_SPECIES
Mn 54.94 Mn.upf
V 50.94 V.upf
Ru 101.07 Ru.upf
ATOMIC_POSITIONS crystal
Mn 0.667 0.667 0.333
Mn 0.000 0.500 0.000
Mn 0.668 0.168 0.335
Mn 0.333 0.333 0.667
Mn 0.332 0.832 0.665
V 0.830 0.576 0.660
V 0.500 0.742 0.000
V 0.170 0.424 0.340
V 0.830 0.084 0.660
V 0.500 0.258 0.000
V 0.170 0.916 0.340
Ru 0.000 0.000 0.000
CELL_PARAMETERS angstrom
3.945 0.017 -1.151
-0.797 5.101 -2.656
-0.076 0.368 7.076
! SG: Immm (71)
! E_form: -275 meV per atom

! SrCdAg2F8, relaxed, DFT PBE; values from VASP
&SYSTEM
  ibrav = 0, nat = 12, ntyp = 4
/
ATOMIC_SPECIES
Ag 107.87 Ag.upf
F 19.00 F.upf
Sr 87.62 Sr.upf
Cd 112.41 Cd.upf
ATOMIC_POSITIONS crystal
Ag 0.500 0.500 0.000
Ag 0.250 0.750 0.500
F 0.879 0.378 0.242
F 0.364 0.379 0.243
F 0.136 0.121 0.758
F 0.622 0.637 0.758
F 0.879 0.864 0.243
F 0.621 0.121 0.757
F 0.136 0.636 0.757
F 0.363 0.864 0.242
Sr 0.750 0.250 0.500
Cd 0.000 0.000 0.000
CELL_PARAMETERS angstrom
5.572 0.000 0.000
0.000 5.572 0.000
-2.787 -2.787 5.606
! Formation energy (no corrections): -2.01 eV per atom
! SG: I-4m2 (119)

! MnZn2Ni2, relaxed, DFT PBE; values from VASP
&SYSTEM
  ibrav = 0, nat = 10, ntyp = 3
/
ATOMIC_SPECIES
Zn 65.41 Zn.upf
Ni 58.69 Ni.upf
Mn 54.94 Mn.upf
ATOMIC_POSITIONS crystal
Zn 0.130 0.370 0.000
Zn 0.630 0.130 0.000
Zn 0.870 0.630 0.000
Zn 0.370 0.870 0.000
Ni 0.830 0.330 0.500
Ni 0.330 0.170 0.500
Ni 0.170 0.670 0.500
Ni 0.670 0.830 0.500
Mn 0.000 0.000 0.000
Mn 0.500 0.500 0.000
CELL_PARAMETERS angstrom
-5.130 2.574 3.796
1.199 -4.745 4.837
1.670 1.609 1.165
! SG: P4/mbm (127)
! Excess energy over the best structure of this formula in the dataset: 0.328 eV per atom
! E_form: 190 meV per atom

! LiAcSe2, relaxed, DFT PBE; values from VASP
&SYSTEM
  ibrav = 0, nat = 4, ntyp = 3
/
ATOMIC_SPECIES
Se 78.96 Se.upf
Li 6.94 Li.upf
Ac 227.00 Ac.upf
ATOMIC_POSITIONS crystal
Se 0.000 0.000 0.253
Se 0.000 0.000 0.747
Li 0.500 0.500 0.000
Ac 0.500 0.500 0.500
CELL_PARAMETERS angstrom
3.791 0.000 0.000
0.000 3.791 0.000
0.000 0.000 7.412
! Formation energy (no corrections): -1.39 eV per atom
! SG: P4/mmm (123)

! Y2CrAs, relaxed, DFT PBE; values from VASP
&SYSTEM
  ibrav = 0, nat = 4, ntyp = 3
/
ATOMIC_SPECIES
As 74.92 As.upf
Y 88.91 Y.upf
Cr 52.00 Cr.upf
ATOMIC_POSITIONS crystal
As 0.000 0.000 0.560
Y 0.500 0.500 0.307
Y 0.000 0.000 0.945
Cr 0.500 0.500 0.688
CELL_PARAMETERS angstrom
3.428 0.000 0.000
0.000 3.428 0.000
0.000 0.000 7.851
! SG: P4mm (99)
! E_form: -165 meV per atom

! ZrTcBr, relaxed, DFT PBE; values from VASP
&SYSTEM
  ibrav = 0, nat = 3, ntyp = 3
/
ATOMIC_SPECIES
Br 79.90 Br.upf
Tc 98.00 Tc.upf
Zr 91.22 Zr.upf
ATOMIC_POSITIONS crystal
Br 0.000 0.000 0.000
Tc 0.500 0.500 0.500
Zr 0.750 0.750 0.750
CELL_PARAMETERS angstrom
-0.631 3.813 -2.427
-2.034 -0.203 -4.080
-4.204 1.692 -0.540
! Formation energy (no corrections): 0.77 eV per atom
! SG: F-43m (216)
! Excess energy over the best structure of this formula in the dataset: 0.838 eV per atom

! HgTeAu2, relaxed, DFT PBE; values from VASP
&SYSTEM
  ibrav = 0, nat = 4, ntyp = 3
/
ATOMIC_SPECIES
Te 127.60 Te.upf
Au 196.97 Au.upf
Hg 200.59 Hg.upf
ATOMIC_POSITIONS crystal
Te 0.500 0.500 0.750
Au 0.000 0.000 0.478
Au 0.000 0.000 0.022
Hg 0.500 0.500 0.250
CELL_PARAMETERS angstrom
-2.541 -0.861 -1.468
-1.418 -1.666 3.434
-3.076 6.153 1.715
! Formation energy (no corrections): 0.20 eV per atom
! SG: Pmmm (47)
! Excess energy over the best structure of this formula in the dataset: 0.168 eV per atom

! RbTc2WSe, relaxed, DFT PBE; values from VASP
&SYSTEM
  ibrav = 0, nat = 5, ntyp = 4
/
ATOMIC_SPECIES
Tc 98.00 Tc.upf
W 183.84 W.upf
Se 78.96 Se.upf
Rb 85.47 Rb.upf
ATOMIC_POSITIONS crystal
Tc 0.000 0.000 0.500
Tc 0.500 0.000 0.000
W 0.000 0.500 0.000
Se 0.000 0.000 0.000
Rb 0.500 0.500 0.500
CELL_PARAMETERS angstrom
-1.187 0.741 4.576
-3.953 -2.668 -0.594
2.449 -3.910 1.269
! Formation energy (no corrections): 1.64 eV per atom
! SG: P4/mmm (123)

! ErScIn, relaxed, DFT PBE; values from VASP
&SYSTEM
  ibrav = 0, nat = 6, ntyp = 3
/
ATOMIC_SPECIES
Sc 44.96 Sc.upf
In 114.82 In.upf
Er 167.26 Er.upf
ATOMIC_POSITIONS crystal
Sc 0.333 0.167 0.750
Sc 0.667 0.833 0.250
In 0.667 0.833 0.750
In 0.333 0.167 0.250
Er 0.000 0.500 0.500
Er 0.000 0.500 0.000
CELL_PARAMETERS angstrom
5.166 0.000 0.000
-2.582 4.475 0.000
0.000 0.000 6.554
! SG: P6_3/mmc (194)
! Excess energy over the best structure of this formula in the dataset: 0.000 eV per atom
! E_form: -368 meV per atom

! Ga5Hg12Au3, relaxed, DFT PBE; values from VASP
&SYSTEM
  ibrav = 0, nat = 80, ntyp = 3
/
ATOMIC_SPECIES
Hg 200.59 Hg.upf
Ga 69.72 Ga.upf
Au 196.97 Au.upf
ATOMIC_POSITIONS crystal
Hg 0.133 0.403 0.074
Hg 0.367 0.941 0.769
Hg 0.941 0.367 0.269
Hg 0.633 0.059 0.231
Hg 0.633 0.574 0.903
Hg 0.329 0.559 0.426
Hg 0.903 0.829 0.769
Hg 0.903 0.074 0.633
Hg 0.329 0.769 0.403
Hg 0.926 0.097 0.867
Hg 0.133 0.731 0.559
Hg 0.171 0.074 0.941
Hg 0.426 0.059 0.329
Hg 0.403 0.269 0.329
Hg 0.403 0.133 0.574
Hg 0.671 0.231 0.597
Hg 0.269 0.867 0.941
Hg 0.074 0.903 0.133
Hg 0.769 0.441 0.367
Hg 0.059 0.426 0.829
Hg 0.367 0.426 0.097
Hg 0.559 0.231 0.133
Hg 0.829 0.903 0.269
Hg 0.441 0.671 0.074
Hg 0.574 0.633 0.403
Hg 0.097 0.171 0.231
Hg 0.441 0.769 0.867
Hg 0.731 0.597 0.171
Hg 0.829 0.926 0.059
Hg 0.059 0.633 0.731
Hg 0.426 0.367 0.597
Hg 0.097 0.926 0.367
Hg 0.574 0.941 0.671
Hg 0.559 0.329 0.926
Hg 0.926 0.829 0.559
Hg 0.231 0.559 0.633
Hg 0.867 0.269 0.441
Hg 0.269 0.403 0.829
Hg 0.941 0.574 0.171
Hg 0.769 0.329 0.903
Hg 0.597 0.867 0.426
Hg 0.867 0.597 0.926
Hg 0.597 0.731 0.671
Hg 0.171 0.097 0.731
Hg 0.731 0.133 0.059
Hg 0.671 0.441 0.574
Hg 0.231 0.671 0.097
Hg 0.074 0.171 0.441
Ga 0.000 0.500 0.000
Ga 0.500 0.500 0.000
Ga 0.625 0.875 0.250
Ga 0.000 0.000 0.500
Ga 0.375 0.250 0.125
Ga 0.000 0.000 0.000
Ga 0.250 0.875 0.125
Ga 0.375 0.125 0.750
Ga 0.875 0.250 0.625
Ga 0.625 0.750 0.875
Ga 0.500 0.500 0.500
Ga 0.875 0.625 0.750
Ga 0.500 0.000 0.000
Ga 0.000 0.500 0.500
Ga 0.125 0.375 0.250
Ga 0.500 0.000 0.500
Ga 0.125 0.750 0.375
Ga 0.750 0.125 0.875
Ga 0.250 0.375 0.625
Ga 0.750 0.625 0.375
Au 0.875 0.125 0.250
Au 0.250 0.625 0.875
Au 0.125 0.875 0.750
Au 0.875 0.750 0.125
Au 0.125 0.250 0.875
Au 0.625 0.250 0.375
Au 0.750 0.875 0.625
Au 0.750 0.375 0.125
Au 0.625 0.375 0.750
Au 0.375 0.625 0.250
Au 0.375 0.750 0.625
Au 0.250 0.125 0.375
CELL_PARAMETERS angstrom
-13.977 -0.829 -2.356
3.836 -10.022 9.298
3.161 12.801 5.266
! SG: Ia-3d (230)
! E_form: 134 meV per atom

> Which formula does entry 6 have?

LiAcSe2